Record 1
This record from Alexandria describes crystalline TlTePb2 at its relaxed geometry. The functional is GGA-PBE.

Properties
Crystal system: orthorhombic
N(E_F), states/eV/cell: 1.478
Formation energy (no corrections), kcal/mol of atoms: -1.8

Cell lengths 4.2883, 5.2625, 5.6169 Å; angles 90.00, 90.00, 90.00 degrees
Closest atoms and distances in Å follow each position.
Fractional coordinates of all 4 atoms:
Tl 0.0000 0.0000 0.0000  4 Pb 3.39, 4 Te 3.53
Te 0.5000 0.0000 0.5000  4 Pb 3.39, 4 Tl 3.53
Pb 0.0000 0.5000 0.5000  4 Te 3.39, 4 Pb 3.53
Pb 0.5000 0.5000 0.0000  4 Tl 3.39, 4 Pb 3.53

---

Record 2
This record from Alexandria describes crystalline Er3Tm8Sc3 at its relaxed geometry. The functional is GGA-PBE.

Properties
Crystal system: orthorhombic
N(E_F), states/eV/cell: 19.649
Energy relative to the elements, eV per atom: 0.392

Cell lengths 10.0903, 10.0903, 10.0903 Å; angles 149.62, 123.86, 65.18 degrees
Closest atoms and distances in Å follow each position.
Fractional coordinates of all 14 atoms:
Er 0.0000 0.0000 0.0000  4 Tm 3.09
Er 0.2553 0.5000 0.7553  6 Tm 3.36-3.53, 4 Sc 3.52-3.73, 2 Er 3.59
Er 0.7447 0.5000 0.2447  6 Tm 3.36-3.53, 4 Sc 3.52-3.73, 2 Er 3.59
Tm 0.1199 0.8782 0.2417  3 Er 3.09-3.36, 3 Tm 3.10-3.12, 1 Sc 3.21
Tm 0.1403 0.2981 0.8421  4 Tm 3.00-3.12, 1 Sc 3.30
Tm 0.3634 0.1218 0.2417  3 Er 3.09-3.36, 3 Tm 3.10-3.12, 1 Sc 3.21
Tm 0.4560 0.2981 0.1579  4 Tm 3.00-3.12, 1 Sc 3.30
Tm 0.5440 0.7019 0.8421  4 Tm 3.00-3.12, 1 Sc 3.30
Tm 0.6366 0.8782 0.7583  3 Er 3.09-3.36, 3 Tm 3.10-3.12, 1 Sc 3.21
Tm 0.8597 0.7019 0.1579  4 Tm 3.00-3.12, 1 Sc 3.30
Tm 0.8801 0.1218 0.7583  3 Er 3.09-3.36, 3 Tm 3.10-3.12, 1 Sc 3.21
Sc 0.1667 0.6667 0.5000  6 Tm 3.30-3.58
Sc 0.5000 0.0000 0.5000  4 Tm 3.21, 4 Er 3.52
Sc 0.8333 0.3333 0.5000  6 Tm 3.30-3.58

---

Record 3
This record from Alexandria describes crystalline MoIrN2 at its relaxed geometry. The functional is GGA-PBE.

Properties
Crystal system: trigonal
N(E_F), states/eV/cell: 2.815
Formation energy (no corrections), kcal/mol of atoms: 2.1

Cell lengths 6.7592, 6.7592, 6.7592 Å; angles 24.25, 24.25, 24.25 degrees
Closest atoms and distances in Å follow each position.
Fractional coordinates of all 4 atoms:
Mo 0.0000 0.0000 0.0000  6 N 2.10
Ir 0.5000 0.5000 0.5000  2 N 1.97
N 0.4000 0.4000 0.4000  1 Ir 1.97, 3 Mo 2.10
N 0.6000 0.6000 0.6000  1 Ir 1.97, 3 Mo 2.10

---

Computed total moment, in the same sequence as the records: 0.000; 0.000; 0.000 Bohr magnetons per cell.